[1]
La4Ge2Cl5 PBE relaxed; DOS at the Fermi energy = 0.430 states/eV/atom
1.0
-0.859 1.013 -4.036
-4.058 -7.076 -0.912
-10.491 2.622 5.127
La Ge Cl
4 2 5
Direct
0.663 0.538 0.326
0.006 0.730 0.013
0.337 0.462 0.674
0.994 0.270 0.987
0.553 0.456 0.106
0.447 0.544 0.894
0.129 0.775 0.257
0.871 0.225 0.743
0.226 0.330 0.452
0.500 0.000 0.000
0.774 0.670 0.548

=====

[2]
La5GeCl5 PBE relaxed; DOS at the Fermi energy = 0.700 states/eV/atom
1.0
5.917 0.000 0.000
-2.959 6.582 -0.039
0.000 -2.497 7.927
La Ge Cl
5 1 5
Direct
0.827 0.653 0.157
0.836 0.672 0.672
0.500 0.000 0.000
0.164 0.328 0.328
0.173 0.347 0.843
0.000 0.000 0.000
0.653 0.305 0.346
0.658 0.315 0.813
0.000 0.000 0.500
0.342 0.685 0.187
0.347 0.695 0.654

=====

[3]
La6GeCl5 PBE relaxed; DOS at the Fermi energy = 0.700 states/eV/atom
1.0
-0.048 6.722 2.667
-6.113 -3.854 -0.262
3.384 -3.476 5.541
Ge Cl La
1 5 6
Direct
0.000 0.000 0.000
0.844 0.156 0.500
0.670 0.330 0.000
0.500 0.500 0.500
0.330 0.670 0.000
0.156 0.844 0.500
0.914 0.580 0.749
0.420 0.086 0.251
0.740 0.740 0.241
0.260 0.260 0.759
0.580 0.914 0.749
0.086 0.420 0.251

=====

ΔE_f (raw) for every record listed, in sequence, given in meV per atom: -1671, -1641, -1489.